Here is an optimized crystal structure of Er3Si2Ni9Sn from Alexandria via LeMat-Bulk. Energies are from PBE.

raw formation energy: -0.285 eV per atom

Geometry as extended XYZ:
```
15
Lattice="5.817 0.000 0.000 -2.909 5.038 0.000 0.000 0.000 8.930" Properties=species:S:1:pos:R:3 pbc="T T T"
Er 0.000 0.000 0.000
Er 0.000 3.359 6.447
Er 2.909 1.679 2.483
Si 0.000 3.359 1.504
Si 2.909 1.679 7.425
Ni -1.454 2.519 0.000
Ni 0.000 1.404 2.373
Ni -1.693 4.336 2.373
Ni 1.215 0.702 6.557
Ni 2.909 0.000 0.000
Ni 1.454 2.519 0.000
Ni 1.693 4.336 2.373
Ni 4.602 0.702 6.557
Ni 2.909 3.635 6.557
Sn 0.000 0.000 4.465
```

Here is an optimized crystal structure of ErThSi2Ni2 from Alexandria via LeMat-Bulk. Energies are from PBE.

raw formation energy: -0.812 eV per atom

Geometry as extended XYZ:
```
6
Lattice="4.041 0.000 0.000 -2.021 3.500 0.000 0.000 0.000 7.890" Properties=species:S:1:pos:R:3 pbc="T T T"
Er 0.000 0.000 0.000
Th 0.000 0.000 3.945
Si 0.000 2.333 5.994
Si 2.021 1.167 1.896
Ni 0.000 2.333 1.886
Ni 2.021 1.167 6.004
```

Here is an optimized crystal structure of ErTmSiNi from Alexandria via LeMat-Bulk. Energies are from PBE.

raw formation energy: -0.505 eV per atom
offset from the most stable computed form: 158 meV per atom

Geometry as extended XYZ:
```
4
Lattice="0.000 3.410 3.410 3.410 0.000 3.410 3.410 3.410 0.000" Properties=species:S:1:pos:R:3 pbc="T T T"
Er 0.000 0.000 0.000
Tm 3.410 3.410 3.410
Si 1.705 1.705 1.705
Ni 5.115 5.115 5.115
```

Here is an optimized crystal structure of ErTmSiNi from Alexandria via LeMat-Bulk. Energies are from PBE.

raw formation energy: -0.663 eV per atom
offset from the most stable computed form: 0 meV per atom

Geometry as extended XYZ:
```
4
Lattice="4.017 0.000 0.000 0.000 1.963 5.207 0.000 -1.963 5.207" Properties=species:S:1:pos:R:3 pbc="T T T"
Er 0.000 0.000 0.000
Tm 2.009 0.000 2.942
Si 2.009 0.000 5.972
Ni 0.000 0.000 7.394
```

Here is an optimized crystal structure of YErSiNi from Alexandria via LeMat-Bulk. Energies are from PBE.

raw formation energy: -0.489 eV per atom
offset from the most stable computed form: 164 meV per atom

Geometry as extended XYZ:
```
4
Lattice="0.000 3.442 3.442 3.442 0.000 3.442 3.442 3.442 0.000" Properties=species:S:1:pos:R:3 pbc="T T T"
Y 0.000 0.000 0.000
Er 3.442 3.442 3.442
Si 1.721 1.721 1.721
Ni 5.162 5.162 5.162
```

Here is an optimized crystal structure of YErSiNi from Alexandria via LeMat-Bulk. Energies are from PBE.

raw formation energy: -0.654 eV per atom
offset from the most stable computed form: 0 meV per atom

Geometry as extended XYZ:
```
4
Lattice="4.026 0.000 0.000 0.000 1.985 5.272 0.000 -1.985 5.272" Properties=species:S:1:pos:R:3 pbc="T T T"
Y 0.000 0.000 0.000
Er 2.013 0.000 2.971
Si 2.013 0.000 6.062
Ni 0.000 0.000 7.488
```

Here is an optimized crystal structure of Er2ZnSi4Ni3 from Alexandria via LeMat-Bulk. Energies are from PBE.

raw formation energy: -0.752 eV per atom

Geometry as extended XYZ:
```
10
Lattice="3.943 0.000 0.000 0.000 3.943 0.000 0.000 0.000 9.767" Properties=species:S:1:pos:R:3 pbc="T T T"
Er 0.000 1.971 2.375
Er 1.971 0.000 7.391
Zn 0.000 0.000 4.883
Si 0.000 0.000 0.000
Si 0.000 1.971 6.300
Si 1.971 0.000 3.467
Si 1.971 1.971 0.000
Ni 0.000 1.971 8.574
Ni 1.971 0.000 1.193
Ni 1.971 1.971 4.883
```

Here is an optimized crystal structure of ErZnSi2Ni5 from Alexandria via LeMat-Bulk. Energies are from PBE.

raw formation energy: -0.271 eV per atom

Geometry as extended XYZ:
```
9
Lattice="3.884 0.000 0.000 0.000 3.884 0.000 0.000 0.000 8.296" Properties=species:S:1:pos:R:3 pbc="T T T"
Er 0.000 0.000 0.000
Zn 0.000 0.000 4.148
Si 1.942 1.942 3.012
Si 1.942 1.942 5.284
Ni 0.000 1.942 1.927
Ni 0.000 1.942 6.369
Ni 1.942 0.000 1.927
Ni 1.942 0.000 6.369
Ni 1.942 1.942 0.000
```

Here is an optimized crystal structure of ErZn2SiNi4 from Alexandria via LeMat-Bulk. Energies are from PBE.

raw formation energy: -0.379 eV per atom

Geometry as extended XYZ:
```
8
Lattice="2.030 1.172 7.878 -2.030 1.172 7.878 0.000 -2.344 7.878" Properties=species:S:1:pos:R:3 pbc="T T T"
Er 0.000 0.000 0.000
Zn 0.000 0.000 5.807
Zn 0.000 0.000 17.827
Si 0.000 0.000 11.817
Ni 0.000 0.000 3.192
Ni 0.000 0.000 9.583
Ni 0.000 0.000 14.051
Ni 0.000 0.000 20.442
```

Here is an optimized crystal structure of Er2Zn2SiNi5 from Alexandria via LeMat-Bulk. Energies are from PBE.

raw formation energy: -0.331 eV per atom

Geometry as extended XYZ:
```
20
Lattice="9.559 0.000 0.000 0.000 9.559 0.000 0.000 0.000 3.212" Properties=species:S:1:pos:R:3 pbc="T T T"
Er 1.660 3.119 0.000
Er 3.119 7.899 0.000
Er 6.440 1.660 0.000
Er 7.899 6.440 0.000
Zn 1.218 5.997 0.000
Zn 3.562 1.218 0.000
Zn 5.997 8.342 0.000
Zn 8.342 3.562 0.000
Si 0.000 0.000 0.000
Si 4.780 4.780 0.000
Ni 0.000 4.780 1.606
Ni 0.467 7.769 1.606
Ni 1.791 0.467 1.606
Ni 2.989 5.247 1.606
Ni 4.313 2.989 1.606
Ni 4.780 0.000 1.606
Ni 5.247 6.570 1.606
Ni 6.570 4.313 1.606
Ni 7.769 9.092 1.606
Ni 9.092 1.791 1.606
```

Here is an optimized crystal structure of Er2Zn3SiNi12 from Alexandria via LeMat-Bulk. Energies are from PBE.

raw formation energy: -0.017 eV per atom

Geometry as extended XYZ:
```
18
Lattice="2.997 1.730 8.362 -2.997 1.730 8.362 0.000 -3.461 8.362" Properties=species:S:1:pos:R:3 pbc="T T T"
Er 0.000 0.000 3.756
Er 0.000 0.000 21.330
Zn -1.498 -0.865 8.362
Zn -1.498 0.865 16.725
Zn 0.000 1.730 8.362
Si 0.000 0.000 12.543
Ni 0.000 -2.112 7.065
Ni -1.829 1.056 7.065
Ni -1.323 -0.764 10.910
Ni -1.829 -1.056 18.022
Ni 0.000 -1.528 14.176
Ni -1.323 0.764 14.176
Ni 1.323 -0.764 10.910
Ni 0.000 1.528 10.910
Ni 1.829 1.056 7.065
Ni 1.323 0.764 14.176
Ni 1.829 -1.056 18.022
Ni 0.000 2.112 18.022
```

Here is an optimized crystal structure of Er3Zn2SiNi9 from Alexandria via LeMat-Bulk. Energies are from PBE.

raw formation energy: -0.086 eV per atom

Geometry as extended XYZ:
```
15
Lattice="5.988 0.000 0.000 -2.994 5.186 0.000 0.000 0.000 8.109" Properties=species:S:1:pos:R:3 pbc="T T T"
Er 0.000 0.000 0.000
Er 0.000 3.457 5.692
Er 2.994 1.729 2.418
Zn 0.000 3.457 1.572
Zn 2.994 1.729 6.538
Si 0.000 0.000 4.055
Ni -1.497 2.593 0.000
Ni 0.000 1.383 2.330
Ni -1.797 4.495 2.330
Ni 1.197 0.691 5.779
Ni 2.994 0.000 0.000
Ni 1.497 2.593 0.000
Ni 1.797 4.495 2.330
Ni 4.791 0.691 5.779
Ni 2.994 3.804 5.779
```

Here is an optimized crystal structure of SmErNi from Alexandria via LeMat-Bulk. Energies are from PBE.

energy of formation from the pure elements: -0.2768 eV/atom
offset from the most stable computed form: 0 meV per atom

Geometry as extended XYZ:
```
6
Lattice="3.672 0.000 0.000 1.834 6.110 0.000 1.824 1.385 6.542" Properties=species:S:1:pos:R:3 pbc="T T T"
Sm 1.831 2.084 2.775
Sm 5.498 5.411 3.767
Er 3.660 2.966 5.818
Er 3.670 4.529 0.724
Ni 3.659 6.832 5.389
Ni 3.670 0.663 1.153
```

Here is an optimized crystal structure of SmEr3Ni2 from Alexandria via LeMat-Bulk. Energies are from PBE.

energy of formation from the pure elements: -0.2895 eV/atom

Geometry as extended XYZ:
```
12
Lattice="7.987 -1.944 0.000 7.987 1.944 0.000 -6.279 0.000 9.476" Properties=species:S:1:pos:R:3 pbc="T T T"
Sm 0.885 0.000 2.311
Sm 8.811 0.000 7.165
Er -2.226 0.000 7.078
Er 6.261 0.000 0.585
Er 3.186 0.000 5.272
Er 6.510 0.000 4.203
Er 3.435 0.000 8.891
Er 11.922 0.000 2.398
Ni 0.235 0.000 5.216
Ni 3.392 0.000 0.464
Ni 6.304 0.000 9.012
Ni 9.461 0.000 4.260
```

Here is an optimized crystal structure of SmEr3Ni8 from Alexandria via LeMat-Bulk. Energies are from PBE.

energy of formation from the pure elements: -0.4261 eV/atom

Geometry as extended XYZ:
```
12
Lattice="5.081 0.000 0.000 -2.540 4.400 0.000 0.000 0.000 8.256" Properties=species:S:1:pos:R:3 pbc="T T T"
Sm 0.000 0.000 0.000
Er 0.000 0.000 3.101
Er 2.540 1.467 4.110
Er 2.540 1.467 7.185
Ni -1.269 2.201 1.556
Ni 0.000 1.477 5.640
Ni -1.261 3.661 5.640
Ni 0.000 2.933 3.588
Ni 0.000 2.933 7.717
Ni 0.000 4.398 1.556
Ni 1.269 2.201 1.556
Ni 1.261 3.661 5.640
```

Here is an optimized crystal structure of Sm2Er3Ni2 from Alexandria via LeMat-Bulk. Energies are from PBE.

energy of formation from the pure elements: -0.2547 eV/atom

Geometry as extended XYZ:
```
7
Lattice="6.112 -1.795 0.000 6.112 1.795 0.000 -4.078 0.000 8.018" Properties=species:S:1:pos:R:3 pbc="T T T"
Sm 0.756 0.000 2.478
Sm 7.390 0.000 5.539
Er 4.412 0.000 0.539
Er 4.073 0.000 4.009
Er 3.735 0.000 7.478
Ni -0.947 0.000 5.935
Ni 9.094 0.000 2.082
```

Here is an optimized crystal structure of SmErNi from Alexandria via LeMat-Bulk. Energies are from PBE.

energy of formation from the pure elements: -0.0696 eV/atom
offset from the most stable computed form: 207 meV per atom

Geometry as extended XYZ:
```
3
Lattice="4.521 0.000 0.000 -2.260 3.915 0.000 0.000 0.000 4.130" Properties=species:S:1:pos:R:3 pbc="T T T"
Sm 0.000 0.000 0.000
Er 0.000 2.610 2.118
Ni 2.260 1.305 1.298
```

Here is an optimized crystal structure of Sm3ErNi2 from Alexandria via LeMat-Bulk. Energies are from PBE.

energy of formation from the pure elements: -0.2570 eV/atom

Geometry as extended XYZ:
```
12
Lattice="8.176 -1.957 0.000 8.176 1.957 0.000 -6.394 0.000 9.591" Properties=species:S:1:pos:R:3 pbc="T T T"
Sm -1.517 0.000 4.254
Sm -4.648 0.000 8.992
Sm 0.834 0.000 7.221
Sm 9.124 0.000 2.370
Sm 14.606 0.000 0.599
Sm 11.475 0.000 5.337
Er 3.992 0.000 2.394
Er 5.966 0.000 7.197
Ni -1.699 0.000 9.109
Ni 1.521 0.000 4.296
Ni 8.437 0.000 5.295
Ni 11.658 0.000 0.482
```

Here is an optimized crystal structure of Sm3Er2Ni2 from Alexandria via LeMat-Bulk. Energies are from PBE.

energy of formation from the pure elements: -0.2149 eV/atom

Geometry as extended XYZ:
```
7
Lattice="6.054 -1.835 0.000 6.054 1.835 0.000 -3.730 0.000 8.113" Properties=species:S:1:pos:R:3 pbc="T T T"
Sm 0.000 0.000 0.000
Sm -0.221 0.000 3.502
Sm 8.600 0.000 4.611
Er 3.302 0.000 1.531
Er 5.076 0.000 6.583
Ni 1.088 0.000 6.246
Ni 7.291 0.000 1.867
```

Here is an optimized crystal structure of SmErNi10 from Alexandria via LeMat-Bulk. Energies are from PBE.

energy of formation from the pure elements: -0.3165 eV/atom

Geometry as extended XYZ:
```
12
Lattice="3.959 0.000 0.000 0.000 4.895 0.000 0.000 0.000 8.470" Properties=species:S:1:pos:R:3 pbc="T T T"
Sm 0.000 0.000 0.000
Er 0.000 2.448 4.235
Ni 0.000 0.000 2.852
Ni 0.000 0.000 5.619
Ni 0.000 2.448 1.443
Ni 0.000 2.448 7.028
Ni 1.979 0.000 4.235
Ni 1.979 1.232 2.144
Ni 1.979 1.232 6.326
Ni 1.979 2.448 0.000
Ni 1.979 3.663 2.144
Ni 1.979 3.663 6.326
```

| no. | energy (eV per atom) | V (Å³/atom) |
| --- | --- | --- |
| 1 | -5.6566 | 17.4 |
| 2 | -6.5442 | 18.6 |
| 3 | -5.5650 | 19.8 |
| 4 | -5.7228 | 20.5 |
| 5 | -6.0473 | 20.4 |
| 6 | -6.2118 | 21.1 |
| 7 | -5.6957 | 15.2 |
| 8 | -5.3367 | 13.9 |
| 9 | -4.8359 | 14.1 |
| 10 | -4.9316 | 14.7 |
| 11 | -4.8922 | 14.5 |
| 12 | -4.9985 | 16.8 |
| 13 | -5.2979 | 24.5 |
| 14 | -5.2845 | 24.5 |
| 15 | -5.8143 | 15.4 |
| 16 | -5.2103 | 25.1 |
| 17 | -5.0907 | 24.4 |
| 18 | -5.3042 | 25.6 |
| 19 | -5.1929 | 25.8 |
| 20 | -5.9078 | 13.7 |